Entry 1:
Compound: ScFePb
Source: Alexandria
Functional: PBE
Structure: optimized geometry

a = 3.322 Å, b = 3.322 Å, c = 6.539 Å
α = 90.00°, β = 90.00°, γ = 120.00°
Fractional coordinates of all 3 atoms:
Sc1 0.000 0.000 0.000
Fe1 0.333 0.667 0.286
Pb1 0.667 0.333 0.600

Summary:
Crystal system: trigonal

***

Entry 2:
Compound: BaTc2Rh
Source: Alexandria
Functional: PBE
Structure: optimized geometry

a = 5.808 Å, b = 5.808 Å, c = 5.808 Å
α = 140.28°, β = 140.28°, γ = 57.42°
Fractional coordinates of all 4 atoms:
Ba1 0.000 0.000 0.000
Tc1 0.250 0.750 0.500
Tc2 0.750 0.250 0.500
Rh1 0.500 0.500 0.000

Summary:
Crystal system: tetragonal

***

Entry 3:
Compound: BeCuOs2
Source: Alexandria
Functional: PBE
Structure: optimized geometry

a = 5.100 Å, b = 5.100 Å, c = 4.225 Å
α = 114.33°, β = 114.33°, γ = 31.07°
Fractional coordinates of all 4 atoms:
Be1 0.000 0.000 0.000
Cu1 0.500 0.500 0.500
Os1 0.291 0.291 0.790
Os2 0.709 0.709 0.210

Summary:
Crystal system: monoclinic

***

| no. | DFT total energy (eV/atom) | DFT formation energy (eV per atom) |
| --- | --- | --- |
| 1 | -5.9326 | 0.23 |
| 2 | -6.3078 | 1.19 |
| 3 | -7.3637 | 0.21 |